(1)
# SrTlPb | Alexandria via LeMat-Bulk | GGA-PBE | optimized geometry
data_SrTlPb
_chemical_formula_sum 'Sr2 Tl2 Pb2'
_symmetry_space_group_name_H-M 'P 1'
_symmetry_Int_Tables_number 1
_symmetry_space_group_name_Hall 'P 1'
_cell_length_a 4.9292
_cell_length_b 5.3952
_cell_length_c 7.8276
_cell_angle_alpha 90.00
_cell_angle_beta 108.60
_cell_angle_gamma 90.00
loop_
_atom_site_label
_atom_site_type_symbol
_atom_site_fract_x
_atom_site_fract_y
_atom_site_fract_z
Pb1 Pb 0.5845 0.2500 0.1711
Pb2 Pb 0.4155 0.7500 0.8289
Tl1 Tl 0.2426 0.2500 0.4882
Tl2 Tl 0.7574 0.7500 0.5118
Sr1 Sr 0.0974 0.7500 0.1940
Sr2 Sr 0.9026 0.2500 0.8060
# V (Å³/f.u.): 99
# Relative energy among the computed polymorphs (eV/f.u.): 0.02
# E_tot (eV/cell): -17.565


(2)
# SrTlPb | Alexandria via LeMat-Bulk | GGA-PBE | optimized geometry
data_SrTlPb
_chemical_formula_sum 'Sr4 Tl4 Pb4'
_symmetry_space_group_name_H-M 'P 1'
_symmetry_Int_Tables_number 1
_symmetry_space_group_name_Hall 'P 1'
_cell_length_a 8.8501
_cell_length_b 7.0794
_cell_length_c 8.0577
_cell_angle_alpha 54.62
_cell_angle_beta 90.00
_cell_angle_gamma 90.00
loop_
_atom_site_label
_atom_site_type_symbol
_atom_site_fract_x
_atom_site_fract_y
_atom_site_fract_z
Pb1 Pb 0.9195 0.2544 0.5848
Pb2 Pb 0.0805 0.7456 0.4152
Pb3 Pb 0.4195 0.7456 0.9152
Pb4 Pb 0.5805 0.2544 0.0848
Sr1 Sr 0.2248 0.2326 0.8879
Sr2 Sr 0.2752 0.2326 0.3879
Sr3 Sr 0.7752 0.7674 0.1121
Sr4 Sr 0.7248 0.7674 0.6121
Tl1 Tl 0.9238 0.2572 0.1712
Tl2 Tl 0.5762 0.2572 0.6712
Tl3 Tl 0.4238 0.7428 0.3288
Tl4 Tl 0.0762 0.7428 0.8288
# V (Å³/f.u.): 103
# Relative energy among the computed polymorphs (eV/f.u.): 0.05
# E_tot (eV/cell): -35.012


(3)
# SrTl2Pb2 | Alexandria via LeMat-Bulk | GGA-PBE | optimized geometry
data_SrTl2Pb2
_chemical_formula_sum 'Sr2 Tl4 Pb4'
_symmetry_space_group_name_H-M 'P 1'
_symmetry_Int_Tables_number 1
_symmetry_space_group_name_Hall 'P 1'
_cell_length_a 9.1432
_cell_length_b 9.1432
_cell_length_c 3.9894
_cell_angle_alpha 90.00
_cell_angle_beta 90.00
_cell_angle_gamma 90.00
loop_
_atom_site_label
_atom_site_type_symbol
_atom_site_fract_x
_atom_site_fract_y
_atom_site_fract_z
Pb1 Pb 0.1275 0.3725 0.0000
Pb2 Pb 0.8725 0.6275 0.0000
Pb3 Pb 0.6275 0.1275 0.0000
Pb4 Pb 0.3725 0.8725 0.0000
Tl1 Tl 0.8328 0.3328 0.5000
Tl2 Tl 0.3328 0.1672 0.5000
Tl3 Tl 0.1672 0.6672 0.5000
Tl4 Tl 0.6672 0.8328 0.5000
Sr1 Sr 0.0000 0.0000 0.0000
Sr2 Sr 0.5000 0.5000 0.0000
# V (Å³/f.u.): 167
# Relative energy among the computed polymorphs (eV/f.u.): 0.45
# E_tot (eV/cell): -28.934


(4)
# Sr4Tl2Pb5 | Alexandria via LeMat-Bulk | GGA-PBE | optimized geometry
data_Sr4Tl2Pb5
_chemical_formula_sum 'Sr4 Tl2 Pb5'
_symmetry_space_group_name_H-M 'P 1'
_symmetry_Int_Tables_number 1
_symmetry_space_group_name_Hall 'P 1'
_cell_length_a 3.9696
_cell_length_b 9.0906
_cell_length_c 10.4591
_cell_angle_alpha 89.77
_cell_angle_beta 90.00
_cell_angle_gamma 90.00
loop_
_atom_site_label
_atom_site_type_symbol
_atom_site_fract_x
_atom_site_fract_y
_atom_site_fract_z
Sr1 Sr 0.5000 0.2230 0.1348
Sr2 Sr 0.5000 0.7538 0.3871
Sr3 Sr 0.5000 0.2462 0.6129
Sr4 Sr 0.5000 0.7770 0.8652
Pb1 Pb 0.0000 0.5561 0.6554
Pb2 Pb 0.0000 0.5000 0.0000
Pb3 Pb 0.0000 0.1266 0.8773
Pb4 Pb 0.0000 0.8734 0.1227
Pb5 Pb 0.0000 0.4439 0.3446
Tl1 Tl 0.0000 0.9162 0.6284
Tl2 Tl 0.0000 0.0838 0.3716
# V (Å³/f.u.): 377
# E_tot (eV/cell): -33.788


(5)
# SrTl7Pb5 | Alexandria via LeMat-Bulk | GGA-PBE | optimized geometry
data_SrTl7Pb5
_chemical_formula_sum 'Sr1 Tl7 Pb5'
_symmetry_space_group_name_H-M 'P 1'
_symmetry_Int_Tables_number 1
_symmetry_space_group_name_Hall 'P 1'
_cell_length_a 6.6929
_cell_length_b 8.6421
_cell_length_c 8.6421
_cell_angle_alpha 81.30
_cell_angle_beta 67.99
_cell_angle_gamma 67.99
loop_
_atom_site_label
_atom_site_type_symbol
_atom_site_fract_x
_atom_site_fract_y
_atom_site_fract_z
Tl1 Tl 0.3485 0.1783 0.1783
Tl2 Tl 0.5239 0.2420 0.7606
Tl3 Tl 0.5239 0.7606 0.2420
Tl4 Tl 0.0044 0.3539 0.6426
Tl5 Tl 0.0044 0.6426 0.3539
Tl6 Tl 0.6192 0.3435 0.3435
Tl7 Tl 0.3049 0.6522 0.6522
Pb1 Pb 0.9918 0.4724 0.0035
Pb2 Pb 0.9918 0.0035 0.4724
Pb3 Pb 0.4723 0.9900 0.5342
Pb4 Pb 0.7081 0.8301 0.8301
Pb5 Pb 0.4723 0.5342 0.9900
Sr1 Sr 0.0345 0.9966 0.9966
# V (Å³/f.u.): 430
# E_tot (eV/cell): -37.279


(6)
# SrTlPb2 | Alexandria via LeMat-Bulk | GGA-PBE | optimized geometry
data_SrTlPb2
_chemical_formula_sum 'Sr1 Tl1 Pb2'
_symmetry_space_group_name_H-M 'P 1'
_symmetry_Int_Tables_number 1
_symmetry_space_group_name_Hall 'P 1'
_cell_length_a 6.1867
_cell_length_b 6.1867
_cell_length_c 6.1867
_cell_angle_alpha 131.88
_cell_angle_beta 131.88
_cell_angle_gamma 70.42
loop_
_atom_site_label
_atom_site_type_symbol
_atom_site_fract_x
_atom_site_fract_y
_atom_site_fract_z
Pb1 Pb 0.2500 0.7500 0.5000
Pb2 Pb 0.0000 0.0000 0.0000
Tl1 Tl 0.7500 0.2500 0.5000
Sr1 Sr 0.5000 0.5000 0.0000
# V (Å³/f.u.): 129
# E_tot (eV/cell): -12.620


Energy relative to the elements? In order: -0.342 -0.332 -0.127 -0.344 -0.038 -0.289 eV per atom.
DOS at the Fermi energy? In order: 2.300 6.595 6.660 4.962 6.221 2.496 states/eV/cell.